No. 1
Material: PPt2Se
Method: DFT, PBE-GGA
State: optimized geometry

Values from the calculation:
- Theoretical density: 12.57 g/cm3
- Total energy: -19.10 eV per formula unit
- Polymorph energy (0 for the lowest one): 750 meV/atom
- E_form (uncorrected): 0.469 eV/atom

```
4
Lattice="-0.181 0.846 4.455 -3.801 1.660 1.841 -2.540 -2.613 2.705" Properties=species:S:1:pos:R:3 pbc="T T T"
P -3.261 -0.053 4.500
Pt 0.000 0.000 0.000
Pt -1.630 -0.026 2.250
Se -4.891 -0.079 6.751
```

No. 2
Material: NaSn6Au12
Method: DFT, PBE-GGA
State: optimized geometry

Values from the calculation:
- Theoretical density: 11.79 g/cm3
- Total energy: -67.32 eV per formula unit
- Formation enthalpy at 0 K: -0.14 eV/atom

```
19
Lattice="10.005 0.000 3.207 -4.392 5.997 2.228 1.221 0.000 7.664" Properties=species:S:1:pos:R:3 pbc="T T T"
Na 0.000 0.000 0.000
Au 3.460 0.991 2.488
Au 4.756 5.667 8.219
Au 7.427 1.632 9.441
Au 1.610 2.687 6.559
Au 5.223 3.310 6.539
Au 7.398 3.640 11.451
Au -0.593 4.365 3.658
Au -0.564 2.357 1.648
Au 2.078 0.330 4.880
Au 1.290 5.356 5.640
Au 5.544 0.641 7.459
Au 3.374 5.006 10.611
Sn -0.029 4.800 8.033
Sn 3.430 2.962 8.716
Sn 7.189 4.232 8.462
Sn 6.862 1.197 5.066
Sn -0.355 1.765 4.637
Sn 3.404 3.035 4.383
```

No. 3
Material: Y5TmSc2
Method: DFT, PBE-GGA
State: optimized geometry

Values from the calculation:
- Theoretical density: 4.82 g/cm3
- Total energy: -49.27 eV per formula unit
- Polymorph energy (0 for the lowest one): 0 meV/atom
- Formation enthalpy at 0 K: 0.02 eV/atom

```
8
Lattice="-4.698 1.418 5.149 -2.231 -0.842 -6.701 2.815 -5.697 1.673" Properties=species:S:1:pos:R:3 pbc="T T T"
Y -2.034 0.259 0.089
Y -3.884 -2.491 -0.846
Y -1.554 -4.739 4.281
Y -3.141 -0.172 -3.317
Y -0.419 -2.779 -0.070
Sc -1.527 -3.195 -3.456
Sc -2.763 -2.088 2.473
Tm -2.683 -5.151 0.981
```

No. 4
Material: Nb3ReH
Method: DFT, PBE-GGA
State: optimized geometry

Values from the calculation:
- Theoretical density: 10.64 g/cm3
- Total energy: -45.40 eV per formula unit
- Polymorph energy (0 for the lowest one): 0 meV/atom

```
5
Lattice="4.174 0.000 0.000 0.000 4.174 0.000 0.000 0.000 4.174" Properties=species:S:1:pos:R:3 pbc="T T T"
Nb 2.087 0.000 0.000
Nb 0.000 2.087 0.000
Nb 0.000 0.000 2.087
Re 2.087 2.087 2.087
H 0.000 0.000 0.000
```

No. 5
Material: Ca3TaAl
Method: DFT, PBE-GGA
State: optimized geometry

Values from the calculation:
- Theoretical density: 3.13 g/cm3
- Total energy: -15.96 eV per formula unit
- Polymorph energy (0 for the lowest one): 53 meV/atom
- Formation enthalpy at 0 K: 1.13 eV/atom

```
5
Lattice="5.583 0.000 0.000 0.000 5.583 0.000 0.000 0.000 5.583" Properties=species:S:1:pos:R:3 pbc="T T T"
Ca 0.000 0.000 2.792
Ca 0.000 2.792 0.000
Ca 2.792 0.000 0.000
Al 2.792 2.792 2.792
Ta 0.000 0.000 0.000
```

No. 6
Material: NbGa3Hg
Method: DFT, PBE-GGA
State: optimized geometry

Values from the calculation:
- Theoretical density: 6.15 g/cm3
- Total energy: -16.85 eV per formula unit
- Polymorph energy (0 for the lowest one): 0 meV/atom
- Formation enthalpy at 0 K: 0.52 eV/atom

```
5
Lattice="5.139 0.000 0.000 0.000 5.139 0.000 0.000 0.000 5.139" Properties=species:S:1:pos:R:3 pbc="T T T"
Nb 0.000 0.000 0.000
Ga 0.000 0.000 2.569
Ga 0.000 2.569 0.000
Ga 2.569 0.000 0.000
Hg 2.569 2.569 2.569
```

No. 7
Material: TeRu2
Method: DFT, PBE-GGA
State: optimized geometry

Values from the calculation:
- Theoretical density: 11.21 g/cm3
- Total energy: -21.00 eV per formula unit
- Polymorph energy (0 for the lowest one): 117 meV/atom
- E_form (uncorrected): 0.231 eV/atom

```
12
Lattice="-0.568 -2.055 3.693 -1.888 -4.561 -2.828 7.524 -2.849 -0.428" Properties=species:S:1:pos:R:3 pbc="T T T"
Ru 2.753 -2.462 0.285
Ru -0.828 -3.743 -0.979
Ru 4.158 -4.949 -0.883
Ru 2.316 -7.003 0.152
Ru 5.779 -2.925 0.492
Ru 5.897 -5.721 1.416
Ru 0.910 -4.515 1.320
Ru -0.710 -6.539 -0.055
Te 3.560 -4.570 1.697
Te 1.508 -4.894 -1.260
Te 4.842 -7.694 0.157
Te 0.226 -1.771 0.280
```

No. 8
Material: BeCrSi
Method: DFT, PBE-GGA
State: optimized geometry

Values from the calculation:
- Theoretical density: 4.43 g/cm3
- Total energy: -18.14 eV per formula unit
- E_form (uncorrected): 0.211 eV/atom

```
3
Lattice="5.761 -0.032 0.029 5.160 2.383 0.011 0.600 -0.197 2.407" Properties=species:S:1:pos:R:3 pbc="T T T"
Be 0.646 -0.185 2.396
Cr 7.439 1.492 0.839
Si 4.037 0.652 1.619
```